No. 1
## ZrFe2Tc (GGA-PBE)

Data for an optimized crystal structure of ZrFe2Tc.

a b c (Å): 3.910 3.909 3.909
angles (deg): 90.00 90.00 90.00
Fractional positions:
Fe1 0.000 0.000 0.000
Fe2 0.000 0.500 0.500
Tc1 0.500 0.500 0.000
Zr1 0.500 0.000 0.500

**Space-group type**: P4/mmm (123)
**Energy above the most stable polymorph in this dataset**: 0.1259 eV per atom
**ΔE_f**: 0.134 eV per atom



No. 2
## SbIrPb2 (GGA-PBE)

Data for an optimized crystal structure of SbIrPb2.

a b c (Å): 3.853 6.006 6.006
angles (deg): 52.94 90.00 90.00
Fractional positions:
Ir1 0.500 0.739 0.739
Pb1 0.000 0.934 0.934
Pb2 0.500 0.255 0.255
Sb1 0.000 0.572 0.572

**Space-group type**: Amm2 (38)
**ΔE_f (raw)**: 0.070 eV/atom



No. 3
## Ta5Ag4 (GGA-PBE)

Data for an optimized crystal structure of Ta5Ag4.

a b c (Å): 7.149 7.149 7.149
angles (deg): 93.10 93.10 153.12
Fractional positions:
Ta1 0.000 0.000 0.000
Ta2 0.333 0.333 0.665
Ta3 0.333 0.667 0.000
Ta4 0.667 0.333 0.000
Ta5 0.667 0.667 0.335
Ag1 0.000 0.336 0.336
Ag2 0.000 0.664 0.664
Ag3 0.336 0.000 0.336
Ag4 0.664 0.000 0.664

**Space-group type**: I4/mmm (139)
**ΔE_f**: 0.307 eV per atom



No. 4
## CaSm2Ga4 (GGA-PBE)

Data for an optimized crystal structure of CaSm2Ga4.

a b c (Å): 4.182 4.445 9.783
angles (deg): 103.13 102.34 90.00
Fractional positions:
Ca1 0.500 0.000 0.000
Ga1 0.647 0.647 0.294
Ga2 0.353 0.353 0.706
Ga3 0.066 0.566 0.133
Ga4 0.934 0.434 0.867
Sm1 0.816 0.816 0.632
Sm2 0.184 0.184 0.368

**Space-group type**: Immm (71)
**ΔE_f**: -0.548 eV per atom



No. 5
## LiTm2ZnAu4 (GGA-PBE)

Data for an optimized crystal structure of LiTm2ZnAu4.

a b c (Å): 4.806 4.806 8.286
angles (deg): 73.14 73.14 60.00
Fractional positions:
Li1 0.000 0.000 0.000
Tm1 0.752 0.752 0.744
Tm2 0.248 0.248 0.256
Zn1 0.500 0.500 0.500
Au1 0.373 0.373 0.881
Au2 0.877 0.877 0.368
Au3 0.123 0.123 0.632
Au4 0.627 0.627 0.119

**Space-group type**: R-3m (166)
**ΔE_f**: -0.690 eV per atom



No. 6
## KPmPr (GGA-PBE)

Data for an optimized crystal structure of KPmPr.

a b c (Å): 3.772 3.772 18.267
angles (deg): 90.06 90.06 90.04
Fractional positions:
K1 0.125 0.125 0.265
K2 0.628 0.628 0.042
Pr1 0.625 0.625 0.450
Pr2 0.128 0.128 0.857
Pm1 0.126 0.126 0.584
Pm2 0.627 0.627 0.723

**Space-group type**: C2/m (12)
**ΔE_f**: 0.144 eV per atom



No. 7
## PmHo2ErSe6 (GGA-PBE)

Data for an optimized crystal structure of PmHo2ErSe6.

a b c (Å): 7.229 7.229 7.712
angles (deg): 62.04 62.05 59.99
Fractional positions:
Pm1 0.814 0.814 0.557
Ho1 0.515 0.515 0.455
Ho2 0.012 0.012 0.964
Er1 0.319 0.319 0.044
Se1 0.609 0.226 0.248
Se2 0.226 0.916 0.248
Se3 0.916 0.609 0.248
Se4 0.402 0.723 0.751
Se5 0.723 0.124 0.751
Se6 0.124 0.402 0.751

**Space-group type**: R3 (146)
**ΔE_f (raw)**: -1.845 eV/atom



No. 8
## La3Ho4Sc2 (GGA-PBE)

Data for an optimized crystal structure of La3Ho4Sc2.

a b c (Å): 6.179 9.749 9.749
angles (deg): 82.00 87.36 87.36
Fractional positions:
La1 0.892 0.874 0.317
La2 0.608 0.683 0.126
La3 0.108 0.126 0.683
La4 0.392 0.317 0.874
La5 0.250 0.550 0.450
La6 0.750 0.450 0.550
Ho1 0.424 0.029 0.164
Ho2 0.076 0.836 0.971
Ho3 0.576 0.971 0.836
Ho4 0.924 0.164 0.029
Ho5 0.110 0.219 0.348
Ho6 0.390 0.652 0.781
Ho7 0.890 0.781 0.652
Ho8 0.610 0.348 0.219
Sc1 0.628 0.121 0.502
Sc2 0.872 0.498 0.879
Sc3 0.372 0.879 0.498
Sc4 0.128 0.502 0.121

**Space-group type**: C2/c (15)
**Energy above the most stable polymorph in this dataset**: 0.0069 eV per atom
**ΔE_f**: 0.148 eV per atom